VASP calculation (GGA+U) on Sm2Mo4O15 after structural relaxation.

```
Sm2Mo4O15
1.0
-8.675 -3.635 -1.415
6.183 -7.447 5.523
-0.807 9.129 7.272
O Mo Sm
45 12 6
Direct
0.906 0.494 0.198
0.665 0.713 0.249
0.526 0.267 0.340
0.223 0.307 0.376
0.415 0.162 0.519
0.419 0.560 0.959
0.384 0.145 0.068
0.888 0.619 0.833
0.034 0.156 0.486
0.585 0.838 0.481
0.581 0.440 0.041
0.714 0.980 0.216
0.094 0.506 0.802
0.657 0.095 0.449
0.881 0.790 0.052
0.030 0.931 0.343
0.247 0.621 0.379
0.454 0.427 0.199
0.546 0.573 0.801
0.810 0.538 0.404
0.335 0.287 0.751
0.896 0.302 0.339
0.343 0.905 0.551
0.104 0.698 0.661
0.945 0.080 0.110
0.676 0.393 0.840
0.782 0.988 0.799
0.286 0.020 0.784
0.966 0.844 0.514
0.616 0.855 0.932
0.190 0.462 0.596
0.474 0.733 0.660
0.851 0.255 0.778
0.218 0.012 0.201
0.149 0.745 0.222
0.970 0.069 0.657
0.335 0.856 0.941
0.665 0.144 0.059
0.055 0.920 0.890
0.777 0.693 0.624
0.119 0.210 0.948
0.324 0.607 0.160
0.753 0.379 0.621
0.112 0.381 0.167
0.000 0.500 0.000
0.267 0.984 0.920
0.092 0.534 0.182
0.733 0.016 0.080
0.416 0.778 0.520
0.522 0.437 0.867
0.933 0.132 0.797
0.067 0.868 0.203
0.584 0.222 0.480
0.084 0.310 0.448
0.916 0.690 0.552
0.908 0.466 0.818
0.478 0.563 0.133
0.234 0.224 0.175
0.334 0.659 0.797
0.666 0.341 0.203
0.766 0.776 0.825
0.785 0.944 0.410
0.215 0.056 0.590
```

Calculated values
D(E_F) (states/eV/f.u.): 0.0
Total energy (eV/atom): -7.453
Symmetry: P-1, No. 2